## SnOs3O (PBE)

Data for a relaxed structure of SnOs3O.

Summary:
The value obtained for the calculated total energy is -37.9 eV per cell. For the density of states at the Fermi level, the calculation gives 3.71 states/eV per cell. As for the raw formation energy: 944 meV/atom. The space-group type is No. 221.

Unit cell a=4.1740 b=4.1740 c=4.1740 alpha=90.00 beta=90.00 gamma=90.00
With the nearest neighbours (Å) after each atom.
Fractional coordinates of all 5 atoms:
Os 0.0000 0.5000 0.0000  2 O 2.09
Os 0.0000 0.0000 0.5000  2 O 2.09
Os 0.5000 0.0000 0.0000  2 O 2.09
Sn 0.5000 0.5000 0.5000  12 Os 2.95
O 0.0000 0.0000 0.0000  6 Os 2.09

---

## Sn2OsO (PBE)

Data for a relaxed structure of Sn2OsO.

Summary:
The value obtained for the calculated total energy is -48.3 eV per cell. For the density of states at the Fermi level, the calculation gives 0.00 states/eV per cell. As for the raw formation energy: 12 meV/atom. The space-group type is No. 122.

Unit cell a=6.3163 b=6.3163 c=5.7440 alpha=56.65 beta=56.65 gamma=90.00
With the nearest neighbours (Å) after each atom.
Fractional coordinates of all 8 atoms:
Os 0.0000 0.0000 0.0000  4 Sn 2.63
Os 0.7500 0.2500 0.5000  4 Sn 2.63
Sn 0.5745 0.1250 0.2500  2 O 2.21
Sn 0.1755 0.6250 0.2500  2 O 2.21
Sn 0.3750 0.4255 0.7500  2 O 2.21
Sn 0.8750 0.8245 0.7500  2 O 2.21
O 0.5000 0.5000 0.0000  4 Sn 2.21
O 0.2500 0.7500 0.5000  4 Sn 2.21

---

## SnOsO3 (PBE)

Data for a relaxed structure of SnOsO3.

Summary:
The value obtained for the calculated total energy is -33.6 eV per cell. For the density of states at the Fermi level, the calculation gives 3.12 states/eV per cell. As for the raw formation energy: -695 meV/atom. The space-group type is No. 221.

Unit cell a=3.9639 b=3.9639 c=3.9639 alpha=90.00 beta=90.00 gamma=90.00
With the nearest neighbours (Å) after each atom.
Fractional coordinates of all 5 atoms:
Os 0.0000 0.0000 0.0000  6 O 1.98
Sn 0.5000 0.5000 0.5000  12 O 2.80
O 0.0000 0.5000 0.0000  2 Os 1.98
O 0.0000 0.0000 0.5000  2 Os 1.98
O 0.5000 0.0000 0.0000  2 Os 1.98

---

## Sn2Os2O (PBE)

Data for a relaxed structure of Sn2Os2O.

Summary:
The value obtained for the calculated total energy is -32.9 eV per cell. For the density of states at the Fermi level, the calculation gives 5.65 states/eV per cell. As for the raw formation energy: 508 meV/atom. The space-group type is No. 139.

Unit cell a=3.5380 b=3.5380 c=7.8787 alpha=77.02 beta=77.02 gamma=90.00
With the nearest neighbours (Å) after each atom.
Fractional coordinates of all 5 atoms:
Os 0.7500 0.2500 0.5000  4 Os 2.50
Os 0.2500 0.7500 0.5000  4 Os 2.50
Sn 0.4065 0.4065 0.1870  1 Sn 2.79, 4 O 2.87, 4 Os 2.93
Sn 0.5935 0.5935 0.8130  1 Sn 2.79, 4 O 2.87, 4 Os 2.93
O 0.0000 0.0000 0.0000  8 Sn 2.87

---

## SnOs2O (PBE)

Data for a relaxed structure of SnOs2O.

Summary:
The value obtained for the calculated total energy is -59.4 eV per cell. For the density of states at the Fermi level, the calculation gives 3.43 states/eV per cell. As for the raw formation energy: 432 meV/atom. The space-group type is No. 122.

Unit cell a=4.5740 b=4.5740 c=7.4840 alpha=72.21 beta=72.21 gamma=90.00
With the nearest neighbours (Å) after each atom.
Fractional coordinates of all 8 atoms:
Os 0.4781 0.1250 0.2500  2 O 2.09
Os 0.2719 0.6250 0.2500  2 O 2.09
Os 0.3750 0.5219 0.7500  2 O 2.09
Os 0.8750 0.7281 0.7500  2 O 2.09
Sn 0.0000 0.0000 0.0000  4 Os 2.73
Sn 0.7500 0.2500 0.5000  4 Os 2.73
O 0.5000 0.5000 0.0000  4 Os 2.09
O 0.2500 0.7500 0.5000  4 Os 2.09

---

## Sn2Os2O (PBE)

Data for a relaxed structure of Sn2Os2O.

Summary:
The value obtained for the calculated total energy is -62.6 eV per cell. For the density of states at the Fermi level, the calculation gives 7.06 states/eV per cell. As for the raw formation energy: 826 meV/atom. The space-group type is No. 127.

Unit cell a=7.5700 b=7.5700 c=3.1560 alpha=90.00 beta=90.00 gamma=90.00
With the nearest neighbours (Å) after each atom.
Fractional coordinates of all 10 atoms:
Os 0.1210 0.6210 0.5000  1 Os 2.59, 6 Sn 2.67-2.79
Os 0.6210 0.8790 0.5000  1 Os 2.59, 6 Sn 2.67-2.79
Os 0.8790 0.3790 0.5000  1 Os 2.59, 6 Sn 2.67-2.79
Os 0.3790 0.1210 0.5000  1 Os 2.59, 6 Sn 2.67-2.79
Sn 0.3221 0.8221 0.0000  6 Os 2.67-2.79, 2 O 2.79
Sn 0.8221 0.6779 0.0000  6 Os 2.67-2.79, 2 O 2.79
Sn 0.6779 0.1779 0.0000  6 Os 2.67-2.79, 2 O 2.79
Sn 0.1779 0.3221 0.0000  6 Os 2.67-2.79, 2 O 2.79
O 0.0000 0.0000 0.0000  4 Sn 2.79
O 0.5000 0.5000 0.0000  4 Sn 2.79

---

## SnOs3O (PBE)

Data for a relaxed structure of SnOs3O.

Summary:
The value obtained for the calculated total energy is -26.0 eV per cell. For the density of states at the Fermi level, the calculation gives 5.20 states/eV per cell. As for the raw formation energy: 3320 meV/atom. The space-group type is No. 221.

Unit cell a=4.9493 b=4.9493 c=4.9493 alpha=90.00 beta=90.00 gamma=90.00
With the nearest neighbours (Å) after each atom.
Fractional coordinates of all 5 atoms:
Os 0.0000 0.5000 0.0000  2 Sn 2.47
Os 0.0000 0.0000 0.5000  2 Sn 2.47
Os 0.5000 0.0000 0.0000  2 Sn 2.47
Sn 0.0000 0.0000 0.0000  6 Os 2.47
O 0.5000 0.5000 0.5000  12 Os 3.50

---

## TbSnOsO6 (PBE)

Data for a relaxed structure of TbSnOsO6.

Summary:
The value obtained for the calculated total energy is -130.8 eV per cell. For the density of states at the Fermi level, the calculation gives 4.33 states/eV per cell. As for the raw formation energy: -1756 meV/atom. The space-group type is No. 163.

Unit cell a=5.4108 b=5.4108 c=8.9955 alpha=90.00 beta=90.00 gamma=120.00
With the nearest neighbours (Å) after each atom.
Fractional coordinates of all 18 atoms:
Tb 0.3333 0.6667 0.2500  6 O 2.26
Tb 0.6667 0.3333 0.7500  6 O 2.26
Sn 0.0000 0.0000 0.0000  6 O 2.13
Sn 0.0000 0.0000 0.5000  6 O 2.13
Os 0.6667 0.3333 0.2500  6 O 1.99
Os 0.3333 0.6667 0.7500  6 O 1.99
O 0.6865 0.6475 0.1253  1 Os 1.99, 1 Sn 2.13
O 0.9609 0.3135 0.1253  1 Os 1.99, 1 Sn 2.13
O 0.3135 0.9609 0.6253  1 Os 1.99, 1 Sn 2.13
O 0.0391 0.6865 0.8747  1 Os 1.99, 1 Sn 2.13
O 0.3525 0.3135 0.3747  1 Os 1.99, 1 Sn 2.13
O 0.9609 0.6475 0.3747  1 Os 1.99, 1 Sn 2.13
O 0.6475 0.9609 0.8747  1 Os 1.99, 1 Sn 2.13
O 0.6865 0.0391 0.3747  1 Os 1.99, 1 Sn 2.13
O 0.0391 0.3525 0.6253  1 Os 1.99, 1 Sn 2.13
O 0.3525 0.0391 0.1253  1 Os 1.99, 1 Sn 2.13
O 0.6475 0.6865 0.6253  1 Os 1.99, 1 Sn 2.13
O 0.3135 0.3525 0.8747  1 Os 1.99, 1 Sn 2.13